This record from the Alexandria database describes crystalline Pm5Si2Br2 at its relaxed geometry. The functional is PBE.

Geometry as extended XYZ:
```
18
Lattice="-4.923 0.696 6.058 -0.229 -7.830 0.713 6.065 4.179 4.448" Properties=species:S:1:pos:R:3 pbc="T T T"
Pm 0.000 0.000 0.000
Pm -2.576 -3.567 3.386
Pm -2.755 -4.576 6.757
Pm 0.624 -2.425 2.455
Pm -0.332 -6.221 3.846
Pm -1.800 -0.779 5.365
Pm 3.668 1.620 4.463
Pm 0.289 -0.531 8.765
Pm 1.244 3.265 7.374
Pm 2.712 -2.176 5.854
Si -3.293 -6.384 4.428
Si -1.859 -0.750 2.344
Si -0.776 -4.835 1.226
Si -4.377 -2.299 5.546
Br 2.381 0.105 1.923
Br -0.195 -3.462 5.309
Br 3.454 -3.757 3.239
Br 1.108 0.506 5.911
```

Properties
DOS at the Fermi energy   17.2 states/eV per cell
Total magnetization   0.00 μB per formula unit
DFT total energy   -91.284 eV for the cell shown
Formation energy (no corrections)   -7.7 eV per formula unit